No. 1
Zr2ZnSb | PBE | relaxed

The calculation puts the uncorrected formation energy at -0.3638 eV per atom. For the total energy, the calculation gives -5.987 eV per atom. Its density of states at the Fermi level is 2.60 states/eV per cell.

The structure belongs to space group P2/m (No. 10); the cell edges are 3.3087, 4.0540 and 6.2386 Å and the angles 90.00°, 96.04° and 90.00°. The asymmetric unit holds Zr at (0.0175, 0.0000, 0.2410), Zn at (0.5000, 0.5000, 0.0000) and Sb at (0.5000, 0.5000, 0.5000).



No. 2
Zr2ZnSb | PBE | relaxed

The calculation puts the uncorrected formation energy at -0.5036 eV per atom. For the total energy, the calculation gives -6.127 eV per atom. Its density of states at the Fermi level is 5.82 states/eV per cell.

The structure belongs to space group Amm2 (No. 38); the cell edges are 4.0372, 3.8717 and 10.7804 Å and the angles 90.00°, 90.00° and 90.00°. The asymmetric unit holds Zr at (0.0000, 0.0000, 0.0000), Zr at (0.5000, 0.0000, 0.3064), Zn at (0.0000, 0.0000, 0.7478) and Sb at (0.5000, 0.0000, 0.5821).



No. 3
Zr2ZnSb | PBE | relaxed

The calculation puts the uncorrected formation energy at -0.3948 eV per atom. For the total energy, the calculation gives -6.018 eV per atom. Its density of states at the Fermi level is 2.71 states/eV per cell.

The structure belongs to space group P4/mmm (No. 123); the cell edges are 4.4231, 4.4231 and 4.2099 Å and the angles 90.00°, 90.00° and 90.00°. The asymmetric unit holds Zr at (0.0000, 0.5000, 0.0000), Zn at (0.0000, 0.0000, 0.5000) and Sb at (0.5000, 0.5000, 0.5000).